1.
# GGA-PBE TaTlRu2O8, optimized geometry
# volume: 18.3 Å³ per atom
# density of states at the Fermi level: 5.18 states/eV/cell
# SG: P-3 (147)
# final energy: -87.2 eV per formula unit
data_TaTlRu2O8
_cell_length_a 5.6684
_cell_length_b 5.6684
_cell_length_c 7.8751
_cell_angle_alpha 90.00
_cell_angle_beta 90.00
_cell_angle_gamma 120.00
_symmetry_space_group_name_H-M 'P 1'
_symmetry_Int_Tables_number 1
loop_
_symmetry_equiv_pos_as_xyz
'x,y,z'
loop_
_atom_site_label
_atom_site_type_symbol
_atom_site_fract_x
_atom_site_fract_y
_atom_site_fract_z
_atom_site_occupancy
Ta1 Ta 0.0000 0.0000 0.0000 1
Tl1 Tl 0.0000 0.0000 0.5000 1
Ru1 Ru 0.3333 0.6667 0.2436 1
Ru2 Ru 0.6667 0.3333 0.7564 1
O1 O 0.1222 0.3233 0.1492 1
O2 O 0.2010 0.8778 0.1492 1
O3 O 0.3233 0.2010 0.8508 1
O4 O 0.3333 0.6667 0.4648 1
O5 O 0.6667 0.3333 0.5352 1
O6 O 0.6767 0.7990 0.1492 1
O7 O 0.7990 0.1222 0.8508 1
O8 O 0.8778 0.6767 0.8508 1



2.
# GGA-PBE LiNdTi2O6, optimized geometry
# volume: 11.6 Å³ per atom
# density of states at the Fermi level: 0.00 states/eV/cell
# SG: Pmc2_1 (26)
# final energy: -82.7 eV per formula unit
data_LiNdTi2O6
_cell_length_a 7.6582
_cell_length_b 5.3765
_cell_length_c 5.6278
_cell_angle_alpha 90.00
_cell_angle_beta 90.00
_cell_angle_gamma 90.00
_symmetry_space_group_name_H-M 'P 1'
_symmetry_Int_Tables_number 1
loop_
_symmetry_equiv_pos_as_xyz
'x,y,z'
loop_
_atom_site_label
_atom_site_type_symbol
_atom_site_fract_x
_atom_site_fract_y
_atom_site_fract_z
_atom_site_occupancy
Li1 Li 0.0000 0.2060 0.0000 1
Li2 Li 0.0000 0.7940 0.5000 1
Nd1 Nd 0.5000 0.2337 0.0759 1
Nd2 Nd 0.5000 0.7663 0.5759 1
Ti1 Ti 0.2342 0.2650 0.6000 1
Ti2 Ti 0.2342 0.7350 0.1000 1
Ti3 Ti 0.7658 0.2650 0.6000 1
Ti4 Ti 0.7658 0.7350 0.1000 1
O1 O 0.0000 0.1545 0.6329 1
O2 O 0.0000 0.8455 0.1329 1
O3 O 0.2135 0.4411 0.9389 1
O4 O 0.2135 0.5589 0.4389 1
O5 O 0.2998 0.0443 0.3573 1
O6 O 0.2998 0.9557 0.8573 1
O7 O 0.5000 0.3304 0.6541 1
O8 O 0.5000 0.6696 0.1541 1
O9 O 0.7002 0.0443 0.3573 1
O10 O 0.7002 0.9557 0.8573 1
O11 O 0.7865 0.4411 0.9389 1
O12 O 0.7865 0.5589 0.4389 1



3.
# GGA-PBE Ti6NbIn, optimized geometry
# energy of formation: -0.009 eV/atom
# volume: 17.8 Å³ per atom
# density of states at the Fermi level: 12.21 states/eV/cell
# SG: P2/m (10)
# final energy: -60.3 eV per formula unit
data_Ti6NbIn
_cell_length_a 5.2167
_cell_length_b 5.2185
_cell_length_c 5.2247
_cell_angle_alpha 90.00
_cell_angle_beta 90.09
_cell_angle_gamma 90.00
_symmetry_space_group_name_H-M 'P 1'
_symmetry_Int_Tables_number 1
loop_
_symmetry_equiv_pos_as_xyz
'x,y,z'
loop_
_atom_site_label
_atom_site_type_symbol
_atom_site_fract_x
_atom_site_fract_y
_atom_site_fract_z
_atom_site_occupancy
Ti1 Ti 0.0000 0.2454 0.0000 1
Ti2 Ti 0.0000 0.7546 0.0000 1
Ti3 Ti 0.2455 0.5000 0.4996 1
Ti4 Ti 0.4989 0.0000 0.2544 1
Ti5 Ti 0.5011 0.0000 0.7456 1
Ti6 Ti 0.7545 0.5000 0.5004 1
Nb1 Nb 0.0000 0.0000 0.5000 1
In1 In 0.5000 0.5000 0.0000 1



4.
# GGA-PBE InSiBi3, optimized geometry
# volume: 37.2 Å³ per atom
# density of states at the Fermi level: 4.75 states/eV/cell
# SG: Pm-3m (221)
# final energy: -14.5 eV per formula unit
data_InSiBi3
_cell_length_a 5.7072
_cell_length_b 5.7072
_cell_length_c 5.7072
_cell_angle_alpha 90.00
_cell_angle_beta 90.00
_cell_angle_gamma 90.00
_symmetry_space_group_name_H-M 'P 1'
_symmetry_Int_Tables_number 1
loop_
_symmetry_equiv_pos_as_xyz
'x,y,z'
loop_
_atom_site_label
_atom_site_type_symbol
_atom_site_fract_x
_atom_site_fract_y
_atom_site_fract_z
_atom_site_occupancy
In1 In 0.0000 0.0000 0.0000 1
Si1 Si 0.5000 0.5000 0.5000 1
Bi1 Bi 0.0000 0.0000 0.5000 1
Bi2 Bi 0.0000 0.5000 0.0000 1
Bi3 Bi 0.5000 0.0000 0.0000 1